VASP calculation (PBE) on a relaxed structure of SrTmAgS3.

For the total energy, the calculation gives -5.172 eV per atom. For the total moment, the calculation gives 0.00 μB per formula unit. For the excess energy over the best structure of this formula in the dataset, the calculation gives 0.0 meV per atom.

a b c (Å): 8.823 8.823 8.374
angles (deg): 103.10 103.10 25.84
Fractional coordinates of all 12 atoms:
Sr1 0.134 0.134 0.070
Sr2 0.866 0.866 0.930
Tm1 0.165 0.165 0.585
Tm2 0.835 0.835 0.415
Ag1 0.481 0.481 0.289
Ag2 0.519 0.519 0.711
S1 0.000 0.000 0.500
S2 0.319 0.319 0.185
S3 0.327 0.327 0.636
S4 0.500 0.500 0.000
S5 0.673 0.673 0.364
S6 0.681 0.681 0.815

---

VASP calculation (PBE) on a relaxed structure of FeNiC2.

For the total energy, the calculation gives -7.443 eV per atom. For the total moment, the calculation gives 2.02 μB per formula unit.

a b c (Å): 2.538 3.974 3.974
angles (deg): 53.35 90.00 90.00
Fractional coordinates of all 4 atoms:
Fe1 0.000 0.000 0.000
Ni1 0.500 0.672 0.672
C1 0.000 0.287 0.287
C2 0.500 0.399 0.399

---

VASP calculation (PBE) on a relaxed structure of YNbPO.

For the total energy, the calculation gives -8.686 eV per atom. For the total moment, the calculation gives 0.08 μB per formula unit. For the excess energy over the best structure of this formula in the dataset, the calculation gives 0.0 meV per atom.

a b c (Å): 3.947 3.947 8.740
angles (deg): 90.00 90.00 90.00
Fractional coordinates of all 8 atoms:
Y1 0.250 0.250 0.125
Y2 0.750 0.750 0.875
Nb1 0.250 0.750 0.500
Nb2 0.750 0.250 0.500
P1 0.250 0.250 0.689
P2 0.750 0.750 0.311
O1 0.250 0.750 0.000
O2 0.750 0.250 0.000

---

VASP calculation (PBE) on a relaxed structure of NpZn.

For the total energy, the calculation gives -6.881 eV per atom. For the total moment, the calculation gives 2.73 μB per formula unit. The energy of formation comes out at 0.136 eV/atom.

a b c (Å): 5.896 4.198 6.111
angles (deg): 90.00 90.00 90.00
Fractional coordinates of all 8 atoms:
Np1 0.079 0.250 0.091
Np2 0.421 0.750 0.591
Np3 0.579 0.250 0.409
Np4 0.921 0.750 0.909
Zn1 0.074 0.250 0.593
Zn2 0.426 0.750 0.093
Zn3 0.574 0.250 0.907
Zn4 0.926 0.750 0.407

---

VASP calculation (PBE) on a relaxed structure of ZrNbGe.

For the total energy, the calculation gives -7.186 eV per atom. For the total moment, the calculation gives 0.41 μB per formula unit.

a b c (Å): 4.544 4.544 4.544
angles (deg): 60.00 60.00 60.00
Fractional coordinates of all 3 atoms:
Zr1 0.000 0.000 0.000
Nb1 0.250 0.250 0.250
Ge1 0.500 0.500 0.500

---

VASP calculation (PBE) on a relaxed structure of Ho3Er3Te2Ir.

For the total energy, the calculation gives -5.563 eV per atom. For the total moment, the calculation gives 0.09 μB per formula unit. For the excess energy over the best structure of this formula in the dataset, the calculation gives 18.6 meV per atom.

a b c (Å): 8.302 8.302 3.958
angles (deg): 90.00 90.00 120.00
Fractional coordinates of all 9 atoms:
Ho1 0.000 0.242 0.000
Ho2 0.242 0.000 0.000
Ho3 0.758 0.758 0.000
Er1 0.000 0.605 0.500
Er2 0.395 0.395 0.500
Er3 0.605 0.000 0.500
Te1 0.333 0.667 0.000
Te2 0.667 0.333 0.000
Ir1 0.000 0.000 0.500

---

Repeat the third record exactly.
VASP calculation (PBE) on a relaxed structure of YNbPO.

For the total energy, the calculation gives -8.686 eV per atom. For the total moment, the calculation gives 0.08 μB per formula unit. For the excess energy over the best structure of this formula in the dataset, the calculation gives 0.0 meV per atom.

a b c (Å): 3.947 3.947 8.740
angles (deg): 90.00 90.00 90.00
Fractional coordinates of all 8 atoms:
Y1 0.250 0.250 0.125
Y2 0.750 0.750 0.875
Nb1 0.250 0.750 0.500
Nb2 0.750 0.250 0.500
P1 0.250 0.250 0.689
P2 0.750 0.750 0.311
O1 0.250 0.750 0.000
O2 0.750 0.250 0.000

---

Copy entry 3 word for word.
VASP calculation (PBE) on a relaxed structure of YNbPO.

For the total energy, the calculation gives -8.686 eV per atom. For the total moment, the calculation gives 0.08 μB per formula unit. For the excess energy over the best structure of this formula in the dataset, the calculation gives 0.0 meV per atom.

a b c (Å): 3.947 3.947 8.740
angles (deg): 90.00 90.00 90.00
Fractional coordinates of all 8 atoms:
Y1 0.250 0.250 0.125
Y2 0.750 0.750 0.875
Nb1 0.250 0.750 0.500
Nb2 0.750 0.250 0.500
P1 0.250 0.250 0.689
P2 0.750 0.750 0.311
O1 0.250 0.750 0.000
O2 0.750 0.250 0.000